# 1
This record from Alexandria via LeMat-Bulk describes a relaxed CrCdFe3 crystal. The functional is GGA-PBE.

As for the energy relative to the elements: 1.0115 eV/atom. The energy above the lowest structure with this stoichiometry is 0.000 eV per atom. The calculation puts the calculated volume at 15.58 Å³/atom.

It has space group Pm-3m (No. 221), with a = 4.2709 Å, b = 4.2709 Å, c = 4.2709 Å, α = 90.00°, β = 90.00° and γ = 90.00°. The inequivalent atoms are Cr at (0.0000, 0.0000, 0.0000), Cd at (0.5000, 0.5000, 0.5000) and Fe at (0.0000, 0.0000, 0.5000).

=====

# 2
This record from Alexandria via LeMat-Bulk describes a relaxed NaScAgTe3 crystal. The functional is GGA-PBE.

The formation energy without anion corrections is -763 meV/atom. The calculation puts the calculated volume at 28.70 Å³/atom.

It has space group P2_1/m (No. 11), with a = 8.4804 Å, b = 4.1066 Å, c = 10.3642 Å, α = 90.00°, β = 107.43° and γ = 90.00°. The inequivalent atoms are Na at (0.2117, 0.2500, 0.2743), Sc at (0.3250, 0.7500, 0.8403), Ag at (0.0740, 0.2500, 0.6004), Te at (0.0962, 0.2500, 0.8730), Te at (0.2784, 0.7500, 0.5464) and Te at (0.4219, 0.7500, 0.1427).

=====

# 3
This record from Alexandria via LeMat-Bulk describes a relaxed Al3Ga crystal. The functional is GGA-PBE.

As for the energy relative to the elements: 0.0147 eV/atom. The calculation puts the calculated volume at 16.93 Å³/atom.

It has space group Pmmm (No. 47), with a = 2.8068 Å, b = 4.0675 Å, c = 5.9301 Å, α = 90.00°, β = 90.00° and γ = 90.00°. The inequivalent atoms are Al at (0.0000, 0.0000, 0.0000), Al at (0.5000, 0.5000, 0.2466) and Ga at (0.0000, 0.0000, 0.5000).

=====

# 4
This record from Alexandria via LeMat-Bulk describes a relaxed La3NbPt crystal. The functional is GGA-PBE.

As for the energy relative to the elements: 0.3034 eV/atom. The energy above the lowest structure with this stoichiometry is 0.000 eV per atom. The calculation puts the calculated volume at 35.00 Å³/atom.

It has space group Pm-3m (No. 221), with a = 5.5937 Å, b = 5.5937 Å, c = 5.5937 Å, α = 90.00°, β = 90.00° and γ = 90.00°. The inequivalent atoms are La at (0.0000, 0.0000, 0.5000), Nb at (0.5000, 0.5000, 0.5000) and Pt at (0.0000, 0.0000, 0.0000).

=====

# 5
This record from Alexandria via LeMat-Bulk describes a relaxed HfZrPa2C4 crystal. The functional is GGA-PBE.

As for the energy relative to the elements: -0.6317 eV/atom. The calculation puts the calculated volume at 14.75 Å³/atom.

It has space group P2/m (No. 10), with a = 5.9874 Å, b = 3.4527 Å, c = 6.0484 Å, α = 90.00°, β = 109.29° and γ = 90.00°. The inequivalent atoms are Hf at (0.0000, 0.0000, 0.0000), Zr at (0.5000, 0.5000, 0.0000), Pa at (0.0000, 0.5000, 0.5000), Pa at (0.5000, 0.0000, 0.5000), C at (0.2431, 0.5000, 0.2369) and C at (0.2514, 0.0000, 0.7612).

=====

# 6
This record from Alexandria via LeMat-Bulk describes a relaxed TbPmTm2 crystal. The functional is GGA-PBE.

As for the energy relative to the elements: 0.0196 eV/atom. The energy above the lowest structure with this stoichiometry is 0.005 eV per atom. The calculation puts the calculated volume at 32.02 Å³/atom.

It has space group Imm2 (No. 44), with a = 3.6258 Å, b = 11.2922 Å, c = 6.2565 Å, α = 90.00°, β = 90.00° and γ = 90.00°. The inequivalent atoms are Tb at (0.0000, 0.0000, 0.0000), Pm at (0.0000, 0.5000, 0.0020) and Tm at (0.0000, 0.2510, 0.6675).

=====

# 7
This record from Alexandria via LeMat-Bulk describes a relaxed KPRu2 crystal. The functional is GGA-PBE.

As for the energy relative to the elements: 0.3895 eV/atom. The calculation puts the calculated volume at 19.93 Å³/atom.

It has space group P2/m (No. 10), with a = 2.9134 Å, b = 3.4899 Å, c = 7.9486 Å, α = 90.00°, β = 99.46° and γ = 90.00°. The inequivalent atoms are K at (0.0000, 0.0000, 0.0000), P at (0.0000, 0.0000, 0.5000) and Ru at (0.3382, 0.5000, 0.6504).

=====

# 8
This record from Alexandria via LeMat-Bulk describes a relaxed BeZnCl2 crystal. The functional is GGA-PBE.

The formation energy without anion corrections is -565 meV/atom. The energy above the lowest structure with this stoichiometry is 0.095 eV per atom. The calculation puts the calculated volume at 28.69 Å³/atom.

It has space group P2/m (No. 10), with a = 4.1766 Å, b = 3.0456 Å, c = 9.1045 Å, α = 90.00°, β = 97.69° and γ = 90.00°. The inequivalent atoms are Be at (0.0000, 0.0000, 0.0000), Zn at (0.5000, 0.0000, 0.5000) and Cl at (0.1116, 0.5000, 0.8550).

=====

# 9
This record from Alexandria via LeMat-Bulk describes a relaxed CdGaAgW2 crystal. The functional is GGA-PBE.

As for the energy relative to the elements: 2.4924 eV/atom. The calculation puts the calculated volume at 23.68 Å³/atom.

It has space group P4/mmm (No. 123), with a = 5.0348 Å, b = 5.0348 Å, c = 4.6707 Å, α = 90.00°, β = 90.00° and γ = 90.00°. The inequivalent atoms are Cd at (0.0000, 0.0000, 0.0000), Ga at (0.0000, 0.0000, 0.5000), Ag at (0.5000, 0.5000, 0.5000) and W at (0.0000, 0.5000, 0.0000).

=====

# 10
This record from Alexandria via LeMat-Bulk describes a relaxed Li2MgNbAs crystal. The functional is GGA-PBE.

As for the energy relative to the elements: 0.0577 eV/atom. The calculation puts the calculated volume at 20.70 Å³/atom.

It has space group P4/mmm (No. 123), with a = 4.5624 Å, b = 4.5624 Å, c = 4.9714 Å, α = 90.00°, β = 90.00° and γ = 90.00°. The inequivalent atoms are Li at (0.0000, 0.5000, 0.0000), Mg at (0.0000, 0.0000, 0.5000), Nb at (0.5000, 0.5000, 0.5000) and As at (0.5000, 0.5000, 0.0000).

=====

# 11
This record from Alexandria via LeMat-Bulk describes a relaxed Zn2Sn crystal. The functional is GGA-PBE.

As for the energy relative to the elements: 0.0941 eV/atom. The calculation puts the calculated volume at 20.41 Å³/atom.

It has space group P-4m2 (No. 115), with a = 3.0396 Å, b = 3.0396 Å, c = 6.6262 Å, α = 90.00°, β = 90.00° and γ = 90.00°. The inequivalent atoms are Zn at (0.0000, 0.5000, 0.1180) and Sn at (0.5000, 0.5000, 0.5000).

=====

# 12
This record from Alexandria via LeMat-Bulk describes a relaxed Dy8GeSb2 crystal. The functional is GGA-PBE.

The formation energy without anion corrections is -504 meV/atom. The calculation puts the calculated volume at 28.95 Å³/atom.

It has space group C2/m (No. 12), with a = 18.2950 Å, b = 4.5491 Å, c = 7.6625 Å, α = 90.00°, β = 92.75° and γ = 90.00°. The inequivalent atoms are Dy at (0.0055, 0.0000, 0.2374), Dy at (0.0966, 0.5000, 0.5282), Dy at (0.1570, 0.5000, 0.0446), Dy at (0.2152, 0.0000, 0.3609), Ge at (0.0000, 0.5000, 0.0000) and Sb at (0.1751, 0.0000, 0.7714).

=====

# 13
This record from Alexandria via LeMat-Bulk describes a relaxed Ac2BrO crystal. The functional is GGA-PBE.

The formation energy without anion corrections is -1203 meV/atom. The energy above the lowest structure with this stoichiometry is 0.631 eV per atom. The calculation puts the calculated volume at 24.42 Å³/atom.

It has space group P4/mmm (No. 123), with a = 3.5965 Å, b = 3.5965 Å, c = 7.5506 Å, α = 90.00°, β = 90.00° and γ = 90.00°. The inequivalent atoms are Ac at (0.0000, 0.0000, 0.2241), Br at (0.5000, 0.5000, 0.5000) and O at (0.5000, 0.5000, 0.0000).

=====

# 14
This record from Alexandria via LeMat-Bulk describes a relaxed Sr2ZrIn crystal. The functional is GGA-PBE.

As for the energy relative to the elements: 0.2567 eV/atom. The calculation puts the calculated volume at 33.11 Å³/atom.

It has space group R-3m (No. 166, hexagonal axes), with a = 3.6258 Å, b = 3.6258 Å, c = 34.9033 Å, α = 90.00°, β = 90.00° and γ = 120.00°. The inequivalent atoms are Sr at (0.0000, 0.0000, 0.2484), Zr at (0.0000, 0.0000, 0.0000) and In at (0.0000, 0.0000, 0.5000).

=====

# 15
This record from Alexandria via LeMat-Bulk describes a relaxed Sc3SnN crystal. The functional is GGA-PBE.

The formation energy without anion corrections is -123 meV/atom. The calculation puts the calculated volume at 27.69 Å³/atom.

It has space group P4mm (No. 99), with a = 4.1901 Å, b = 4.1901 Å, c = 7.8858 Å, α = 90.00°, β = 90.00° and γ = 90.00°. The inequivalent atoms are Sc at (0.0000, 0.0000, 0.0000), Sc at (0.0000, 0.5000, 0.6632), Sn at (0.0000, 0.0000, 0.3647) and N at (0.5000, 0.5000, 0.7038).

=====

# 16
This record from Alexandria via LeMat-Bulk describes a relaxed RbTmTl crystal. The functional is GGA-PBE.

As for the energy relative to the elements: -0.0728 eV/atom. The calculation puts the calculated volume at 40.50 Å³/atom.

It has space group I4/mmm (No. 139), with a = 4.0326 Å, b = 4.0326 Å, c = 29.8875 Å, α = 90.00°, β = 90.00° and γ = 90.00°. The inequivalent atoms are Rb at (0.0000, 0.0000, 0.0787), Tm at (0.0000, 0.0000, 0.2142) and Tl at (0.0000, 0.0000, 0.3328).

=====

# 17
This record from Alexandria via LeMat-Bulk describes a relaxed TbLuScTi crystal. The functional is GGA-PBE.

As for the energy relative to the elements: 0.2142 eV/atom. The calculation puts the calculated volume at 25.68 Å³/atom.

It has space group F-43m (No. 216), with a = 7.4343 Å, b = 7.4343 Å, c = 7.4343 Å, α = 90.00°, β = 90.00° and γ = 90.00°. The inequivalent atoms are Tb at (0.0000, 0.0000, 0.0000), Lu at (0.0000, 0.0000, 0.5000), Sc at (0.2500, 0.2500, 0.7500) and Ti at (0.2500, 0.2500, 0.2500).

=====

# 18
This record from Alexandria via LeMat-Bulk describes a relaxed HRh3N crystal. The functional is GGA-PBE.

The energy above the lowest structure with this stoichiometry is 0.000 eV per atom. The calculation puts the calculated volume at 12.68 Å³/atom.

It has space group Pm-3m (No. 221), with a = 3.9872 Å, b = 3.9872 Å, c = 3.9872 Å, α = 90.00°, β = 90.00° and γ = 90.00°. The inequivalent atoms are H at (0.0000, 0.0000, 0.0000), Rh at (0.0000, 0.5000, 0.5000) and N at (0.5000, 0.5000, 0.5000).

=====

# 19
This record from Alexandria via LeMat-Bulk describes a relaxed Tm2Ni15Rh2 crystal. The functional is GGA-PBE.

As for the energy relative to the elements: -0.2089 eV/atom. The calculation puts the calculated volume at 12.83 Å³/atom.

It has space group R-3m (No. 166, hexagonal axes), with a = 8.3340 Å, b = 8.3340 Å, c = 12.1601 Å, α = 90.00°, β = 90.00° and γ = 120.00°. The inequivalent atoms are Tm at (0.0000, 0.0000, 0.1582), Ni at (0.0000, 0.2989, 0.5000), Ni at (0.0000, 0.5000, 0.0000), Ni at (0.0045, 0.5022, 0.6546) and Rh at (0.0000, 0.0000, 0.3958).

=====

# 20
This record from Alexandria via LeMat-Bulk describes a relaxed ScAsCl2 crystal. The functional is GGA-PBE.

The formation energy without anion corrections is -790 meV/atom. The energy above the lowest structure with this stoichiometry is 0.368 eV per atom. The calculation puts the calculated volume at 21.35 Å³/atom.

It has space group C2/m (No. 12), with a = 6.0533 Å, b = 9.1668 Å, c = 4.3106 Å, α = 90.00°, β = 134.44° and γ = 90.00°. The inequivalent atoms are Sc at (0.0000, 0.0000, 0.0000), As at (0.0000, 0.5000, 0.0000) and Cl at (0.2500, 0.2500, 0.0000).

=====

# 21
This record from Alexandria via LeMat-Bulk describes a relaxed Ta2TcP crystal. The functional is GGA-PBE.

As for the energy relative to the elements: -0.0812 eV/atom. The calculation puts the calculated volume at 16.65 Å³/atom.

It has space group R3m (No. 160, hexagonal axes), with a = 3.2028 Å, b = 3.2028 Å, c = 22.4905 Å, α = 90.00°, β = 90.00° and γ = 120.00°. The inequivalent atoms are Ta at (0.0000, 0.0000, 0.0000), Ta at (0.0000, 0.0000, 0.2370), Tc at (0.0000, 0.0000, 0.7607) and P at (0.0000, 0.0000, 0.4946).

=====

# 22
This record from Alexandria via LeMat-Bulk describes a relaxed Y2TiZn2 crystal. The functional is GGA-PBE.

As for the energy relative to the elements: -0.1095 eV/atom. The calculation puts the calculated volume at 22.64 Å³/atom.

It has space group P4/mbm (No. 127), with a = 7.0530 Å, b = 7.0530 Å, c = 4.5512 Å, α = 90.00°, β = 90.00° and γ = 90.00°. The inequivalent atoms are Y at (0.1785, 0.3215, 0.0000), Ti at (0.0000, 0.0000, 0.5000) and Zn at (0.1276, 0.6276, 0.5000).

=====

# 23
This record from Alexandria via LeMat-Bulk describes a relaxed ScIBr3 crystal. The functional is GGA-PBE.

The formation energy without anion corrections is -1266 meV/atom. The energy above the lowest structure with this stoichiometry is 0.072 eV per atom. The calculation puts the calculated volume at 37.66 Å³/atom.

It has space group P2_1/c (No. 14), with a = 8.8387 Å, b = 7.3447 Å, c = 14.3485 Å, α = 90.00°, β = 126.04° and γ = 90.00°. The inequivalent atoms are Sc at (0.2448, 0.0544, 0.3471), I at (0.1465, 0.5912, 0.0120), Br at (0.0452, 0.1540, 0.8182), Br at (0.3349, 0.1128, 0.2180) and Br at (0.4527, 0.7370, 0.9687).

=====

# 24
This record from Alexandria via LeMat-Bulk describes a relaxed Ba2Tl4PdAu3 crystal. The functional is GGA-PBE.

As for the energy relative to the elements: -0.3842 eV/atom. The calculation puts the calculated volume at 28.49 Å³/atom.

It has space group P-4m2 (No. 115), with a = 4.9983 Å, b = 4.9983 Å, c = 11.4041 Å, α = 90.00°, β = 90.00° and γ = 90.00°. The inequivalent atoms are Ba at (0.0000, 0.5000, 0.2346), Tl at (0.0000, 0.0000, 0.5000), Tl at (0.0000, 0.5000, 0.8873), Tl at (0.5000, 0.5000, 0.5000), Pd at (0.5000, 0.5000, 0.0000), Au at (0.0000, 0.0000, 0.0000) and Au at (0.0000, 0.5000, 0.6396).

=====

# 25
This record from Alexandria via LeMat-Bulk describes a relaxed Sr2InSi4Pt3 crystal. The functional is GGA-PBE.

The formation energy without anion corrections is -749 meV/atom. The calculation puts the calculated volume at 19.51 Å³/atom.

It has space group P-4m2 (No. 115), with a = 4.3235 Å, b = 4.3235 Å, c = 10.4363 Å, α = 90.00°, β = 90.00° and γ = 90.00°. The inequivalent atoms are Sr at (0.0000, 0.5000, 0.2415), In at (0.0000, 0.0000, 0.5000), Si at (0.0000, 0.0000, 0.0000), Si at (0.0000, 0.5000, 0.6518), Si at (0.5000, 0.5000, 0.0000), Pt at (0.0000, 0.5000, 0.8862) and Pt at (0.5000, 0.5000, 0.5000).